The following is a PBE calculation of crystalline Dy2BBr at its relaxed geometry, from Alexandria via LeMat-Bulk.

Computed properties:
DOS(E_F) = 0.738 states/eV per atom
Calculated volume = 276.1 Å³ per cell
Uncorrected formation energy = -3.13 eV/f.u.
Size of the total moment = 0.00 Bohr magnetons per cell

Cell: 3.8779 3.8779 21.1992 Å, 90.00 90.00 120.00°
Closest atoms and distances in Å follow each position.
Space group R-3m (No. 166, hexagonal axes)
One atom of each set of equivalent atoms:
Dy1 0.0000 0.0000 0.2289 (multiplicity 6)  3 B 2.60
B1 0.0000 0.0000 0.5000 (multiplicity 3)  6 Dy 2.60
Br1 0.0000 0.0000 0.0000 (multiplicity 3)  6 Dy 3.15

=====

The following is a PBE calculation of crystalline Er4BBr5 at its relaxed geometry, from Alexandria via LeMat-Bulk.

Computed properties:
Offset from the most stable computed form = 0.000 eV per atom
DOS(E_F) = 0.454 states/eV per atom
Calculated volume = 545.8 Å³ per cell
Uncorrected formation energy = -13.85 eV/f.u.
Size of the total moment = 0.00 Bohr magnetons per cell

Cell: 17.8208 3.8722 8.1099 Å, 90.00 102.75 90.00°
Closest atoms and distances in Å follow each position.
Space group C2/m (No. 12)
One atom of each set of equivalent atoms:
Er1 0.0005 0.0000 0.2941 (multiplicity 4)  2 B 2.56
Er2 0.1413 0.5000 0.5736 (multiplicity 4)  1 B 2.46
B1 0.0000 0.5000 0.5000 (multiplicity 2)  6 Er 2.46-2.56
Br1 0.0000 0.5000 0.0000 (multiplicity 2)  4 Er 3.07
Br2 0.1655 0.0000 0.8364 (multiplicity 4)  3 Er 2.84-2.91
Br3 0.1721 0.0000 0.3330 (multiplicity 4)  3 Er 2.89-3.00

=====

The following is a PBE calculation of crystalline Er4BBr5 at its relaxed geometry, from Alexandria via LeMat-Bulk.

Computed properties:
Offset from the most stable computed form = 0.023 eV per atom
DOS(E_F) = 0.459 states/eV per atom
Calculated volume = 618.9 Å³ per cell
Uncorrected formation energy = -13.62 eV/f.u.
Size of the total moment = 0.00 Bohr magnetons per cell

Cell: 19.8586 3.8705 8.0524 Å, 90.00 90.33 90.00°
Closest atoms and distances in Å follow each position.
Space group C2/m (No. 12)
One atom of each set of equivalent atoms:
Er1 0.0000 0.0000 0.2078 (multiplicity 4)  2 B 2.56
Er2 0.1219 0.5000 0.0018 (multiplicity 4)  1 B 2.42
B1 0.0000 0.5000 0.0000 (multiplicity 2)  6 Er 2.42-2.56
Br1 0.0000 0.5000 0.5000 (multiplicity 2)  4 Er 3.05
Br2 0.1498 0.0000 0.2517 (multiplicity 4)  3 Er 2.84-2.99
Br3 0.1500 0.0000 0.7527 (multiplicity 4)  3 Er 2.84-3.00